No. 1
Below is an optimized crystal structure of Pm2Mg2Ag, with properties calculated at the GGA-PBE level.

M_tot	0.000	μB/atom
E_form	-0.129	eV per atom

```
Pm2Mg2Ag
1.0
4.419 -2.686 0.754
-0.487 4.828 1.960
0.195 2.513 7.839
Pm Mg Ag
2 2 1
Direct
0.205 0.911 0.192
0.795 0.089 0.808
0.348 0.197 0.478
0.652 0.803 0.522
0.000 0.500 0.000
```

No. 2
Below is an optimized crystal structure of CaCu2, with properties calculated at the GGA-PBE level.

M_tot	0.000	μB/atom
E_form	0.633	eV per atom

```
CaCu2
1.0
5.441 0.000 0.000
0.000 5.441 0.000
0.000 0.000 5.450
Cu Ca
4 2
Direct
0.351 0.649 0.500
0.851 0.851 0.000
0.149 0.149 0.000
0.649 0.351 0.500
0.000 0.000 0.500
0.500 0.500 0.000
```

No. 3
Below is an optimized crystal structure of Sr3Mg4Pd4, with properties calculated at the GGA-PBE level.

M_tot	0.000	μB/atom
E_form	-0.552	eV per atom

```
Sr3Mg4Pd4
1.0
-1.702 4.031 -0.214
-7.355 -3.144 -0.739
3.752 -0.376 7.920
Pd Sr Mg
4 3 4
Direct
0.778 0.278 0.556
0.500 0.183 0.000
0.222 0.722 0.444
0.500 0.817 0.000
0.000 0.500 0.000
0.881 0.881 0.762
0.119 0.119 0.238
0.325 0.133 0.651
0.675 0.482 0.349
0.325 0.518 0.651
0.675 0.867 0.349
```

No. 4
Below is an optimized crystal structure of TaAs2SeS, with properties calculated at the GGA-PBE level.

distance to the lowest polymorph of the same formula	0.000	kcal/mol of atoms
M_tot	0.001	μB/atom
E_form (uncorrected)	0.49	eV/atom

```
TaAs2SeS
1.0
-3.010 -4.051 -0.224
0.514 -0.104 -5.025
3.862 -2.894 0.455
S Se As Ta
1 1 2 1
Direct
0.500 0.500 0.500
0.000 0.000 0.500
0.500 0.000 0.000
0.000 0.500 0.000
0.000 0.000 0.000
```

No. 5
Below is an optimized crystal structure of Sr3PbW, with properties calculated at the GGA-PBE level.

distance to the lowest polymorph of the same formula	4.443	kcal/mol of atoms
M_tot	1.166	μB/atom
E_form	1.095	eV per atom

```
Sr3PbW
1.0
-4.282 1.866 4.228
-4.196 -3.985 -2.491
1.936 -4.509 3.951
Sr W Pb
3 1 1
Direct
0.500 0.000 0.000
0.000 0.500 0.000
0.000 0.000 0.500
0.500 0.500 0.500
0.000 0.000 0.000
```

No. 6
Below is an optimized crystal structure of TlGa2HgIr, with properties calculated at the GGA-PBE level.

distance to the lowest polymorph of the same formula	0.666	kcal/mol of atoms
M_tot	0.000	μB/atom
E_form	-0.106	eV per atom

```
TlGa2HgIr
1.0
-3.556 0.823 3.146
1.440 -3.781 2.617
3.270 3.221 2.854
Hg Ir Tl Ga
1 1 1 2
Direct
0.000 0.000 0.500
0.000 0.000 0.000
0.500 0.500 0.500
0.000 0.500 0.000
0.500 0.000 0.000
```

No. 7
Below is an optimized crystal structure of TbIn4SnRh2, with properties calculated at the GGA-PBE level.

M_tot	0.000	μB/atom
E_form	-0.027	eV per atom

```
TbIn4SnRh2
1.0
4.177 0.000 0.000
0.000 4.177 0.000
0.000 0.000 11.179
In Rh Tb Sn
4 2 1 1
Direct
0.000 0.500 0.226
0.000 0.500 0.774
0.500 0.000 0.774
0.500 0.000 0.226
0.500 0.500 0.385
0.500 0.500 0.615
0.000 0.000 0.000
0.000 0.000 0.500
```

No. 8
Below is an optimized crystal structure of HfBiH3, with properties calculated at the GGA-PBE level.

distance to the lowest polymorph of the same formula	0.000	kcal/mol of atoms
M_tot	0.000	μB/atom

```
HfBiH3
1.0
-3.001 1.522 1.998
-1.941 -3.382 -0.339
1.595 -1.251 3.348
H Bi Hf
3 1 1
Direct
0.500 0.000 0.000
0.000 0.500 0.000
0.000 0.000 0.500
0.500 0.500 0.500
0.000 0.000 0.000
```

No. 9
Below is an optimized crystal structure of BaSiBr2, with properties calculated at the GGA-PBE level.

distance to the lowest polymorph of the same formula	7.440	kcal/mol of atoms
M_tot	0.109	μB/atom
E_form (uncorrected)	-0.53	eV/atom

```
BaSiBr2
1.0
-3.407 -0.437 -1.843
1.404 -3.930 -1.663
-2.643 -3.348 5.680
Ba Br Si
1 2 1
Direct
0.500 0.500 0.750
0.000 0.000 0.993
0.000 0.000 0.507
0.500 0.500 0.250
```

No. 10
Below is an optimized crystal structure of PrNd7Tm2, with properties calculated at the GGA-PBE level.

distance to the lowest polymorph of the same formula	0.000	kcal/mol of atoms
M_tot	0.000	μB/atom
E_form	0.152	eV per atom

```
PrNd7Tm2
1.0
5.504 -0.427 -0.847
0.005 7.014 -3.518
-1.369 0.314 9.347
Tm Nd Pr
2 7 1
Direct
0.786 0.788 0.573
0.214 0.212 0.427
0.630 0.932 0.260
0.370 0.068 0.740
0.631 0.330 0.262
0.500 0.500 0.000
0.369 0.670 0.738
0.843 0.341 0.686
0.157 0.659 0.314
0.000 0.000 0.000
```